Density functional theory data (PBE-GGA) for a relaxed Cu2WCl crystal.

Summary:
Uncorrected formation energy ... 0.467 eV/atom
Offset from the most stable computed form ... 0.69 eV/f.u.
Crystal system ... orthorhombic
M_tot ... 0.00 μB per formula unit
D(E_F) ... 0.391 states/eV per atom

abc: 2.8309 2.8309 9.0744
angles: 90.00 90.00 117.99
Atoms (fractional coordinates):
1 Cu 0.0000 0.0000 0.0000
2 Cu 0.5000 0.5000 0.2170
3 W 0.0000 0.0000 0.4592
4 Cl 0.5000 0.5000 0.6804